Density functional theory data (PBE-GGA) for a relaxed MnSnSCl2 crystal.

Unit cell a=4.9299 b=4.9299 c=5.0293 alpha=90.00 beta=90.00 gamma=90.00
Space group P4/mmm (No. 123)
One atom of each set of equivalent atoms:
Mn  0.0000  0.0000  0.0000
Sn  0.5000  0.5000  0.5000
S  0.0000  0.0000  0.5000
Cl  0.0000  0.5000  0.0000

Output
offset from the most stable computed form	0.0000	eV/atom
theoretical density	3758	kg/m³



Density functional theory data (PBE-GGA) for a relaxed MnSn2SCl crystal.

Unit cell a=5.0248 b=5.0248 c=4.1823 alpha=90.00 beta=90.00 gamma=90.00
Space group P4/mmm (No. 123)
One atom of each set of equivalent atoms:
Mn  0.0000  0.0000  0.0000
Sn  0.0000  0.5000  0.0000
S  0.5000  0.5000  0.5000
Cl  0.0000  0.0000  0.5000

Output
theoretical density	5659	kg/m³



Density functional theory data (PBE-GGA) for a relaxed MnSnSCl2 crystal.

Unit cell a=5.3148 b=5.3148 c=5.1030 alpha=90.00 beta=90.00 gamma=90.00
Space group P4/mmm (No. 123)
One atom of each set of equivalent atoms:
Mn  0.0000  0.0000  0.0000
Sn  0.5000  0.5000  0.5000
S  0.5000  0.5000  0.0000
Cl  0.0000  0.5000  0.5000

Output
offset from the most stable computed form	0.4981	eV/atom
theoretical density	3187	kg/m³



Density functional theory data (PBE-GGA) for a relaxed SrMnS2Cl crystal.

Unit cell a=5.5671 b=5.5671 c=5.3842 alpha=90.00 beta=90.00 gamma=90.00
Space group P4/mmm (No. 123)
One atom of each set of equivalent atoms:
Sr  0.0000  0.0000  0.0000
Mn  0.5000  0.5000  0.5000
S  0.0000  0.5000  0.0000
Cl  0.0000  0.0000  0.5000

Output
offset from the most stable computed form	1.1794	eV/atom
theoretical density	2410	kg/m³



Density functional theory data (PBE-GGA) for a relaxed SrMnSCl2 crystal.

Unit cell a=5.3944 b=5.3944 c=5.8628 alpha=90.00 beta=90.00 gamma=90.00
Space group P4/mmm (No. 123)
One atom of each set of equivalent atoms:
Sr  0.0000  0.0000  0.0000
Mn  0.5000  0.5000  0.5000
S  0.0000  0.0000  0.5000
Cl  0.0000  0.5000  0.0000

Output
offset from the most stable computed form	0.7892	eV/atom
theoretical density	2390	kg/m³



Density functional theory data (PBE-GGA) for a relaxed SrMnS2Cl crystal.

Unit cell a=4.7527 b=4.7527 c=4.8656 alpha=90.00 beta=90.00 gamma=90.00
Space group P4/mmm (No. 123)
One atom of each set of equivalent atoms:
Sr  0.0000  0.0000  0.0000
Mn  0.5000  0.5000  0.5000
S  0.0000  0.5000  0.5000
Cl  0.5000  0.5000  0.0000

Output
offset from the most stable computed form	0.0000	eV/atom
theoretical density	3658	kg/m³



Density functional theory data (PBE-GGA) for a relaxed SrMnSCl2 crystal.

Unit cell a=4.9107 b=4.9107 c=4.9914 alpha=90.00 beta=90.00 gamma=90.00
Space group P4/mmm (No. 123)
One atom of each set of equivalent atoms:
Sr  0.0000  0.0000  0.0000
Mn  0.5000  0.5000  0.5000
S  0.5000  0.5000  0.0000
Cl  0.0000  0.5000  0.5000

Output
offset from the most stable computed form	0.0000	eV/atom
theoretical density	3387	kg/m³



Density functional theory data (PBE-GGA) for a relaxed TaMnSCl2 crystal.

Unit cell a=4.9027 b=4.9027 c=4.8059 alpha=90.00 beta=90.00 gamma=90.00
Space group P4/mmm (No. 123)
One atom of each set of equivalent atoms:
Ta  0.0000  0.0000  0.0000
Mn  0.5000  0.5000  0.5000
S  0.0000  0.0000  0.5000
Cl  0.0000  0.5000  0.0000

Output
offset from the most stable computed form	0.0000	eV/atom
theoretical density	4871	kg/m³



How do the records compare in E_form (uncorrected)? In the order shown, they have -235, 39, 5, -13, -274, -582, -655, -31 kJ/mol of formula units.